# KLi2Ni2 GGA-PBEsol optimized geometry
data_KLi2Ni2
_chemical_formula_sum 'K2 Li4 Ni4'
_cell_length_a 4.462
_cell_length_b 4.462
_cell_length_c 9.290
_cell_angle_alpha 90.00
_cell_angle_beta 90.00
_cell_angle_gamma 90.00
_space_group_name_H-M_alt 'I 4/m m m'
_space_group_IT_number 139
_space_group_name_Hall '-I 4 2'
loop_
_atom_site_label
_atom_site_type_symbol
_atom_site_fract_x
_atom_site_fract_y
_atom_site_fract_z
K1 K 0.000 0.000 0.000
Li1 Li 0.000 0.500 0.250
Ni1 Ni 0.000 0.000 0.380
# Size of the total moment: 1.162 Bohr magnetons per cell
# E: -29.2 eV per cell
# Crystal system: tetragonal
# Volume: 18.5 Å³ per atom